Computed, not measured: a relaxed Ca2LaP crystal at the PBE-GGA level of DFT.

Lattice parameters (Å, degrees): 9.7538 9.7538 7.4998 49.44 49.44 90.00
Closest atoms and distances in Å follow each position.
Fractional positions:
P  0.5000  0.5000  0.0000  4 Ca 2.88, 2 La 2.95
P  0.2500  0.7500  0.5000  4 Ca 2.88, 2 La 2.95
Ca  0.5131  0.1250  0.2500  2 P 2.88
Ca  0.2369  0.6250  0.2500  2 P 2.88
Ca  0.3750  0.4869  0.7500  2 P 2.88
Ca  0.8750  0.7631  0.7500  2 P 2.88
La  0.0000  0.0000  0.0000  2 P 2.95
La  0.7500  0.2500  0.5000  2 P 2.95

Computed properties:
Formation energy = -420 meV/atom
Symmetry = I-42d, No. 122

---

Computed, not measured: a relaxed TbAgSn crystal at the PBE-GGA level of DFT.

Lattice parameters (Å, degrees): 4.8474 4.8474 7.4218 90.00 90.00 120.00
Closest atoms and distances in Å follow each position.
Fractional positions:
Tb  0.0000  0.0000  0.2701  3 Sn 3.21, 6 Ag 3.22-3.34, 1 Tb 3.41
Tb  0.0000  0.0000  0.7299  3 Sn 3.21, 6 Ag 3.22-3.34, 1 Tb 3.41
Sn  0.6667  0.3333  0.9406  3 Sn 2.93, 1 Ag 3.16, 3 Tb 3.21
Sn  0.3333  0.6667  0.0594  3 Sn 2.93, 1 Ag 3.16, 3 Tb 3.21
Ag  0.3333  0.6667  0.4848  3 Ag 2.81
Ag  0.6667  0.3333  0.5152  3 Ag 2.81

Computed properties:
Formation energy = -310 meV/atom
Symmetry = P-3m1, No. 164

---

Computed, not measured: a relaxed HfTaAl3 crystal at the PBE-GGA level of DFT.

Lattice parameters (Å, degrees): 4.9087 4.9087 4.9087 90.00 90.00 90.00
Closest atoms and distances in Å follow each position.
Fractional positions:
Hf  0.0000  0.0000  0.0000  6 Al 2.45
Al  0.0000  0.5000  0.0000  2 Hf 2.45
Al  0.0000  0.0000  0.5000  2 Hf 2.45
Al  0.5000  0.0000  0.0000  2 Hf 2.45
Ta  0.5000  0.5000  0.5000  12 Al 3.47

Computed properties:
Formation energy = 1546 meV/atom
Symmetry = Pm-3m, No. 221

---

For each record above, in turn, the calculated Fermi-level density of states values are 1.049, 0.662, 1.181 states/eV per atom.
For each record above, in turn, the calculated DFT total energy values are -4.0056, -4.1385, -5.0609 eV per atom.